i.
Here is a geometry-optimized Nd2SbPb structure from the Alexandria database. Energies are from PBE-GGA.

abc: 5.952 5.952 3.352
angles: 90.00 90.00 90.00
Fractional coordinates of all 4 atoms:
Nd 0.000 0.500 0.000
Nd 0.500 0.000 0.000
Sb 0.000 0.000 0.500
Pb 0.500 0.500 0.500

Calculated values
- Symmetry: P4/mmm
- Total magnetic moment: 0.1 μB per formula unit

=====

ii.
Here is a geometry-optimized Nd2SbPb structure from the Alexandria database. Energies are from PBE-GGA.

abc: 8.318 8.318 8.318
angles: 30.72 30.72 30.72
Fractional coordinates of all 4 atoms:
Nd 0.246 0.246 0.246
Nd 0.754 0.754 0.754
Sb 0.500 0.500 0.500
Pb 0.000 0.000 0.000

Calculated values
- Symmetry: R-3m
- Total magnetic moment: 0.0 μB per formula unit

=====

Most stable structure - ii; separation to the second - 114 meV per atom.

=====

i.
Here is a geometry-optimized NdSb2Pb structure from the Alexandria database. Energies are from PBE-GGA.

abc: 12.520 12.520 12.520
angles: 15.72 15.72 15.72
Fractional coordinates of all 4 atoms:
Nd 0.000 0.000 0.000
Sb 0.086 0.086 0.086
Sb 0.914 0.914 0.914
Pb 0.500 0.500 0.500

Calculated values
- Symmetry: R-3m
- Total magnetic moment: 0.0 μB per formula unit

=====

ii.
Here is a geometry-optimized NdSb2Pb structure from the Alexandria database. Energies are from PBE-GGA.

abc: 4.235 4.235 6.590
angles: 90.00 90.00 90.00
Fractional coordinates of all 4 atoms:
Nd 0.000 0.000 0.000
Sb 0.500 0.500 0.236
Sb 0.500 0.500 0.764
Pb 0.000 0.000 0.500

Calculated values
- Symmetry: P4/mmm
- Total magnetic moment: 0.0 μB per formula unit

=====

Most stable structure - ii; separation to the second - 630 meV per atom.

=====

i.
Here is a geometry-optimized NdSb2Pb structure from the Alexandria database. Energies are from PBE-GGA.

abc: 5.325 5.325 4.195
angles: 90.00 90.00 99.71
Fractional coordinates of all 4 atoms:
Nd 0.000 0.000 0.000
Sb 0.000 0.500 0.500
Sb 0.500 0.000 0.500
Pb 0.500 0.500 0.000

Calculated values
- Symmetry: Cmmm
- Total magnetic moment: 0.0 μB per formula unit

=====

ii.
Here is a geometry-optimized NdSb2Pb structure from the Alexandria database. Energies are from PBE-GGA.

abc: 5.206 5.206 4.299
angles: 90.00 90.00 90.00
Fractional coordinates of all 4 atoms:
Nd 0.000 0.000 0.000
Sb 0.000 0.500 0.500
Sb 0.500 0.000 0.500
Pb 0.500 0.500 0.000

Calculated values
- Symmetry: P4/mmm
- Total magnetic moment: 0.0 μB per formula unit

=====

Most stable structure - i; separation to the second - 15 meV per atom.

=====

i.
Here is a geometry-optimized NdSc2Pb structure from the Alexandria database. Energies are from PBE-GGA.

abc: 3.748 3.748 7.640
angles: 90.00 90.00 90.00
Fractional coordinates of all 4 atoms:
Nd 0.000 0.000 0.000
Sc 0.500 0.500 0.282
Sc 0.500 0.500 0.718
Pb 0.000 0.000 0.500

Calculated values
- Symmetry: P4/mmm
- Total magnetic moment: 0.0 μB per formula unit

=====

ii.
Here is a geometry-optimized NdSc2Pb structure from the Alexandria database. Energies are from PBE-GGA.

abc: 4.756 4.756 4.637
angles: 90.00 90.00 90.00
Fractional coordinates of all 4 atoms:
Nd 0.000 0.000 0.000
Sc 0.000 0.500 0.500
Sc 0.500 0.000 0.500
Pb 0.500 0.500 0.000

Calculated values
- Symmetry: P4/mmm
- Total magnetic moment: 0.4 μB per formula unit

=====

Most stable structure - ii; separation to the second - 103 meV per atom.

=====

i.
Here is a geometry-optimized NdScPb structure from the Alexandria database. Energies are from PBE-GGA.

abc: 4.544 4.544 8.445
angles: 90.00 90.00 90.00
Fractional coordinates of all 6 atoms:
Nd 0.250 0.250 0.153
Nd 0.750 0.750 0.847
Sc 0.250 0.750 0.500
Sc 0.750 0.250 0.500
Pb 0.250 0.250 0.753
Pb 0.750 0.750 0.247

Calculated values
- Symmetry: P4/nmm
- Total magnetic moment: 0.6 μB per formula unit

=====

ii.
Here is a geometry-optimized NdScPb structure from the Alexandria database. Energies are from PBE-GGA.

abc: 6.358 6.358 6.358
angles: 144.60 144.60 50.93
Fractional coordinates of all 3 atoms:
Nd 0.000 0.000 0.000
Sc 0.688 0.688 0.000
Pb 0.319 0.319 0.000

Calculated values
- Symmetry: I4mm
- Total magnetic moment: 1.5 μB per formula unit

=====

Most stable structure - i; separation to the second - 212 meV per atom.

=====

i.
Here is a geometry-optimized NdScPb structure from the Alexandria database. Energies are from PBE-GGA.

abc: 4.988 4.988 4.092
angles: 90.00 90.00 120.00
Fractional coordinates of all 3 atoms:
Nd 0.000 0.000 0.000
Sc 0.667 0.333 0.499
Pb 0.333 0.667 0.501

Calculated values
- Symmetry: P3m1
- Total magnetic moment: 0.0 μB per formula unit

=====

ii.
Here is a geometry-optimized NdScPb structure from the Alexandria database. Energies are from PBE-GGA.

abc: 5.591 5.591 8.163
angles: 105.98 105.98 47.29
Fractional coordinates of all 6 atoms:
Nd 0.114 0.114 0.412
Nd 0.886 0.886 0.588
Sc 0.321 0.321 0.876
Sc 0.679 0.679 0.124
Pb 0.380 0.380 0.259
Pb 0.620 0.620 0.741

Calculated values
- Symmetry: C2/m
- Total magnetic moment: 0.0 μB per formula unit

=====

Most stable structure - i; separation to the second - 108 meV per atom.